A plane-wave DFT calculation with PBE was carried out for an optimized crystal structure of UGa2CuO8.

```
UGa2CuO8
1.0
4.7634 0.0000 0.0000
0.1003 4.7707 0.0000
0.1405 0.1367 6.1126
U Ga Cu O
1 2 1 8
Cartesian
0.0000 0.0000 0.0000
2.4381 2.3911 1.5903
2.5661 2.5164 4.5223
0.0703 0.0684 3.0563
0.9828 0.9510 1.6024
1.0866 1.0517 4.5789
1.5958 3.3660 3.0569
1.5651 3.2585 0.0003
3.4392 1.6490 6.1124
3.4084 1.5415 3.0557
3.9176 3.8557 1.5337
4.0214 3.9564 4.5102
```

Calculated values
- space-group type = P-1, No. 2
- energy relative to the elements, uncorrected (eV/atom) = -1.7069
- E_tot (eV/atom) = -6.799